No. 1
VASP calculation (GGA-PBE) on a geometry-optimized Tb4CdIn2Hg structure.

It has space group R-3m (No. 166, hexagonal axes), with a = 5.3227 Å, b = 5.3227 Å, c = 26.0962 Å, α = 90.00°, β = 90.00° and γ = 120.00°. The distinct sites, in fractional coordinates, are Tb at (0.0000, 0.0000, 0.1236), Tb at (0.0000, 0.0000, 0.3737), Cd at (0.0000, 0.0000, 0.5000), In at (0.0000, 0.0000, 0.2480) and Hg at (0.0000, 0.0000, 0.0000).

The calculation puts the total energy at -3.596 eV/atom. The energy of formation from the pure elements is -444 meV per atom. Its total magnetic moment is 0.02 μB/cell. The calculated volume comes out at 26.68 Å³ per atom. Its density of states at the Fermi level is 1.11 states/eV per atom.

No. 2
VASP calculation (GGA-PBE) on a geometry-optimized La2PmTmAs4 structure.

It has space group P2/m (No. 10), with a = 7.382 Å, b = 4.269 Å, c = 7.387 Å, α = 90.00°, β = 109.48° and γ = 90.00°. The distinct sites, in fractional coordinates, are La at (0.000, 0.000, 0.000), La at (0.000, 0.500, 0.500), Pm at (0.500, 0.000, 0.500), Tm at (0.500, 0.500, 0.000), As at (0.260, 0.500, 0.248) and As at (0.263, 0.000, 0.759).

The calculation puts the total energy at -6.240 eV/atom. The energy of formation from the pure elements is -1531 meV per atom. Its total magnetic moment is 0.00 μB/cell. The calculated volume comes out at 27.43 Å³ per atom. Its density of states at the Fermi level is 0.09 states/eV per atom.

No. 3
VASP calculation (GGA-PBE) on a geometry-optimized Ca2ScGe4Pd3 structure.

It has space group P-4m2 (No. 115), with a = 4.202 Å, b = 4.202 Å, c = 11.380 Å, α = 90.00°, β = 90.00° and γ = 90.00°. The distinct sites, in fractional coordinates, are Ca at (0.000, 0.500, 0.246), Sc at (0.000, 0.000, 0.500), Ge at (0.000, 0.000, 0.000), Ge at (0.000, 0.500, 0.651), Ge at (0.500, 0.500, 0.000), Pd at (0.000, 0.500, 0.872) and Pd at (0.500, 0.500, 0.500).

The calculation puts the total energy at -5.120 eV/atom. The energy of formation from the pure elements is -682 meV per atom. Its total magnetic moment is 0.00 μB/cell. The calculated volume comes out at 20.09 Å³ per atom. Its density of states at the Fermi level is 0.59 states/eV per atom.